Entry 1:
Material: BeGa3Se
Method: DFT, meta-GGA SCAN
State: single point on PBEsol structure

Properties
For the formation energy (no corrections), the calculation gives 0.136 eV per atom. The electronic total energy comes out at -14.5580 eV/atom. As for the symmetry: Pm-3m (221). Its calculated volume is 17.9 Å³ per atom. The size of the total moment is 0.000 μB/atom.

Unit cell a=4.4703 b=4.4703 c=4.4703 alpha=90.00 beta=90.00 gamma=90.00
Sites, in units of the cell vectors:
Be: 0.0000 0.0000 0.0000
Ga: 0.0000 0.5000 0.0000
Ga: 0.0000 0.0000 0.5000
Ga: 0.5000 0.0000 0.0000
Se: 0.5000 0.5000 0.5000



Entry 2:
Material: BeGaSi2W
Method: DFT, meta-GGA SCAN
State: single point on PBEsol structure

Properties
For the formation energy (no corrections), the calculation gives 1.085 eV per atom. The electronic total energy comes out at -20.9994 eV/atom. As for the symmetry: P4/mmm (123). Its calculated volume is 21.5 Å³ per atom. The size of the total moment is 0.000 μB/atom.

Unit cell a=4.6910 b=4.6910 c=4.8958 alpha=90.00 beta=90.00 gamma=90.00
Sites, in units of the cell vectors:
Be: 0.5000 0.5000 0.5000
Si: 0.0000 0.5000 0.0000
Si: 0.5000 0.0000 0.0000
Ga: 0.0000 0.0000 0.5000
W: 0.0000 0.0000 0.0000



Entry 3:
Material: SrBe2Ga2
Method: DFT, meta-GGA SCAN
State: single point on PBEsol structure

Properties
The electronic total energy comes out at -12.9227 eV/atom. As for the symmetry: I4/mmm (139). The formation energy comes out at -0.1876 eV per atom. Its calculated volume is 17.0 Å³ per atom. The size of the total moment is 0.000 μB/atom.

Unit cell a=4.0978 b=4.0978 c=5.8353 alpha=110.56 beta=110.56 gamma=90.00
Sites, in units of the cell vectors:
Sr: 0.0000 0.0000 0.0000
Ga: 0.3686 0.3686 0.7372
Ga: 0.6314 0.6314 0.2628
Be: 0.2500 0.7500 0.5000
Be: 0.7500 0.2500 0.5000



Entry 4:
Material: Sr2BeGa
Method: DFT, meta-GGA SCAN
State: single point on PBEsol structure

Properties
The electronic total energy comes out at -16.2409 eV/atom. As for the symmetry: Fm-3m (225). The formation energy comes out at 0.0717 eV per atom. Its calculated volume is 26.8 Å³ per atom. The size of the total moment is 0.000 μB/atom.

Unit cell a=5.3325 b=5.3325 c=5.3325 alpha=60.00 beta=60.00 gamma=60.00
Sites, in units of the cell vectors:
Sr: 0.2500 0.2500 0.2500
Sr: 0.7500 0.7500 0.7500
Ga: 0.5000 0.5000 0.5000
Be: 0.0000 0.0000 0.0000